This record from Alexandria describes a relaxed structure of HfVO2. The functional is PBE+U.

Lattice parameters (Å, degrees): 6.183 6.183 6.183 31.77 31.77 31.77
Element x y z (fractional)
1 Hf 0.000 0.000 0.000
2 V 0.500 0.500 0.500
3 O 0.382 0.382 0.382
4 O 0.618 0.618 0.618

crystal system: trigonal
total DFT energy (no corrections): -8.847 eV/atom